This record from Alexandria via LeMat-Bulk describes a relaxed structure of Pr3DySe6. The functional is PBE.

Cell lengths 8.649, 8.649, 8.649 Å; angles 91.26, 91.26, 91.26 degrees
Fractional positions:
Pr (0.430, 0.921, 0.752)
Pr (0.921, 0.752, 0.430)
Pr (0.248, 0.570, 0.079)
Pr (0.752, 0.430, 0.921)
Pr (0.079, 0.248, 0.570)
Pr (0.570, 0.079, 0.248)
Dy (0.000, 0.000, 0.000)
Dy (0.500, 0.500, 0.500)
Se (0.310, 0.914, 0.081)
Se (0.086, 0.919, 0.690)
Se (0.588, 0.813, 0.460)
Se (0.919, 0.690, 0.086)
Se (0.460, 0.588, 0.813)
Se (0.187, 0.540, 0.412)
Se (0.813, 0.460, 0.588)
Se (0.540, 0.412, 0.187)
Se (0.081, 0.310, 0.914)
Se (0.412, 0.187, 0.540)
Se (0.914, 0.081, 0.310)
Se (0.690, 0.086, 0.919)

Output
formation energy (no corrections)	-1.87	eV per atom
crystal system	trigonal
space-group type	R-3 (148)
DOS at the Fermi energy	0.00	states/eV per cell